1.
A relaxed structure of BaCuRe2. Source: the Alexandria database, functional PBE.

The structure in POSCAR format:
```
BaCuRe2
1.0
3.797 -2.192 0.000
3.797 2.192 0.000
-2.541 0.000 5.945
Ba Cu Re
1 1 2
direct
0.000 0.000 0.000
0.500 0.500 0.500
0.182 0.182 0.545
0.818 0.818 0.455
```

Output
- V: 99 Å³/cell
- Energy relative to the elements: 0.568 eV/atom
- Density of states at the Fermi level: 4.72 states/eV per cell
- Space group: C2/m
- Size of the total moment: 0.000 μB per formula unit
- Crystal system: monoclinic

=====

2.
A relaxed structure of BaCuRe2. Source: the Alexandria database, functional PBE.

The structure in POSCAR format:
```
BaCuRe2
1.0
0.000 3.358 3.358
3.358 0.000 3.358
3.358 3.358 0.000
Ba Cu Re
1 1 2
direct
0.000 0.000 0.000
0.250 0.250 0.250
0.500 0.500 0.500
0.750 0.750 0.750
```

Output
- V: 76 Å³/cell
- Energy relative to the elements: 1.305 eV/atom
- Density of states at the Fermi level: 3.63 states/eV per cell
- Space group: F-43m
- Size of the total moment: 0.000 μB per formula unit
- Crystal system: cubic

=====

3.
A relaxed structure of BaCu2Re. Source: the Alexandria database, functional PBE.

The structure in POSCAR format:
```
BaCu2Re
1.0
2.163 1.249 5.691
-2.163 1.249 5.691
0.000 -2.498 5.691
Ba Cu Re
1 2 1
direct
0.000 0.000 0.000
0.184 0.184 0.184
0.816 0.816 0.816
0.500 0.500 0.500
```

Output
- V: 92 Å³/cell
- Energy relative to the elements: 0.486 eV/atom
- Density of states at the Fermi level: 1.91 states/eV per cell
- Space group: R-3m
- Size of the total moment: 1.132 μB per formula unit
- Crystal system: trigonal

=====

4.
A relaxed structure of BaCuRe2. Source: the Alexandria database, functional PBE.

The structure in POSCAR format:
```
BaCuRe2
1.0
2.887 0.000 0.000
0.000 4.835 0.000
0.000 0.000 5.563
Ba Cu Re
1 1 2
direct
0.000 0.000 0.000
0.500 0.500 0.000
0.000 0.500 0.500
0.500 0.000 0.500
```

Output
- V: 78 Å³/cell
- Energy relative to the elements: 1.229 eV/atom
- Density of states at the Fermi level: 2.34 states/eV per cell
- Space group: Pmmm
- Size of the total moment: 0.000 μB per formula unit
- Crystal system: orthorhombic

=====

5.
A relaxed structure of Ba4Cu2Re. Source: the Alexandria database, functional PBE.

The structure in POSCAR format:
```
Ba4Cu2Re
1.0
-2.924 2.924 8.406
2.924 -2.924 8.406
2.924 2.924 -8.406
Ba Cu Re
4 2 1
direct
0.000 0.500 0.500
0.182 0.182 0.000
0.500 0.000 0.500
0.818 0.818 0.000
0.378 0.378 0.000
0.622 0.622 0.000
0.000 0.000 0.000
```

Output
- V: 288 Å³/cell
- Energy relative to the elements: 0.642 eV/atom
- Density of states at the Fermi level: 8.21 states/eV per cell
- Space group: I4/mmm
- Size of the total moment: 0.370 μB per formula unit
- Crystal system: tetragonal

=====

6.
A relaxed structure of BaCu2Re. Source: the Alexandria database, functional PBE.

The structure in POSCAR format:
```
BaCu2Re
1.0
3.080 0.000 0.000
0.000 3.080 0.000
0.000 0.000 7.946
Ba Cu Re
1 2 1
direct
0.000 0.000 0.000
0.000 0.000 0.483
0.500 0.500 0.327
0.500 0.500 0.667
```

Output
- V: 75 Å³/cell
- Energy relative to the elements: 0.770 eV/atom
- Density of states at the Fermi level: 3.65 states/eV per cell
- Space group: P4mm
- Size of the total moment: 0.000 μB per formula unit
- Crystal system: tetragonal